# 1
LiReMo after structural relaxation, computed with GGA-PBE.

The structure belongs to space group I4mm (No. 107); the cell edges are 3.2354, 3.2354 and 8.1769 Å and the angles 90.00°, 90.00° and 90.00°. The inequivalent atoms are Li at (0.0000, 0.0000, 0.0000), Re at (0.0000, 0.0000, 0.3333) and Mo at (0.0000, 0.0000, 0.6725).

For the density of states at the Fermi level, the calculation gives 4.848 states/eV per cell. The total magnetic moment comes out at 0.00 Bohr magnetons per cell. The calculation puts the energy of formation at 345 meV/atom. Its raw total energy is -8.052 eV/atom.

***

# 2
Li3ReMo after structural relaxation, computed with GGA-PBE.

The structure belongs to space group Pm-3m (No. 221); the cell edges are 4.3347, 4.3347 and 4.3347 Å and the angles 90.00°, 90.00° and 90.00°. The inequivalent atoms are Li at (0.0000, 0.0000, 0.5000), Re at (0.0000, 0.0000, 0.0000) and Mo at (0.5000, 0.5000, 0.5000).

For the density of states at the Fermi level, the calculation gives 4.084 states/eV per cell. The total magnetic moment comes out at 0.00 Bohr magnetons per cell. The calculation puts the energy of formation at 2039 meV/atom. Its raw total energy is -3.765 eV/atom.

***

# 3
Li2ReMo after structural relaxation, computed with GGA-PBE.

The structure belongs to space group P2/m (No. 10); the cell edges are 2.5532, 4.7538 and 5.0278 Å and the angles 90.00°, 102.72° and 90.00°. The inequivalent atoms are Li at (0.2442, 0.0000, 0.2588), Re at (0.0000, 0.5000, 0.5000) and Mo at (0.5000, 0.5000, 0.0000).

For the density of states at the Fermi level, the calculation gives 1.750 states/eV per cell. The total magnetic moment comes out at 0.00 Bohr magnetons per cell. The calculation puts the energy of formation at 333 meV/atom. Its raw total energy is -6.444 eV/atom.

***

# 4
Li2ReMo after structural relaxation, computed with GGA-PBE.

The structure belongs to space group P4mm (No. 99); the cell edges are 2.5906, 2.5906 and 9.3220 Å and the angles 90.00°, 90.00° and 90.00°. The inequivalent atoms are Li at (0.0000, 0.0000, 0.0000), Li at (0.5000, 0.5000, 0.2722), Re at (0.5000, 0.5000, 0.7682) and Mo at (0.0000, 0.0000, 0.5184).

For the density of states at the Fermi level, the calculation gives 3.109 states/eV per cell. The total magnetic moment comes out at 0.00 Bohr magnetons per cell. The calculation puts the energy of formation at 372 meV/atom. Its raw total energy is -6.405 eV/atom.

***

# 5
LiReMo2 after structural relaxation, computed with GGA-PBE.

The structure belongs to space group I-42d (No. 122); the cell edges are 7.0294, 7.0294 and 5.3207 Å and the angles 90.00°, 90.00° and 90.00°. The inequivalent atoms are Li at (0.0000, 0.0000, 0.0000), Re at (0.0000, 0.0000, 0.5000) and Mo at (0.2292, 0.2500, 0.6250).

For the density of states at the Fermi level, the calculation gives 12.002 states/eV per cell. The total magnetic moment comes out at 0.00 Bohr magnetons per cell. The calculation puts the energy of formation at 835 meV/atom. Its raw total energy is -8.171 eV/atom.

***

# 6
LiReMo2 after structural relaxation, computed with GGA-PBE.

The structure belongs to space group C2/m (No. 12); the cell edges are 5.4088, 8.8123 and 2.6354 Å and the angles 90.00°, 108.41° and 90.00°. The inequivalent atoms are Li at (0.0000, 0.0000, 0.0000), Re at (0.0000, 0.5000, 0.0000) and Mo at (0.2500, 0.2500, 0.5000).

For the density of states at the Fermi level, the calculation gives 4.639 states/eV per cell. The total magnetic moment comes out at 0.00 Bohr magnetons per cell. The calculation puts the energy of formation at 238 meV/atom. Its raw total energy is -8.768 eV/atom.

***

# 7
LiReMo after structural relaxation, computed with GGA-PBE.

The structure belongs to space group F-43m (No. 216); the cell edges are 5.9240, 5.9240 and 5.9240 Å and the angles 90.00°, 90.00° and 90.00°. The inequivalent atoms are Li at (0.0000, 0.0000, 0.0000), Re at (0.2500, 0.2500, 0.7500) and Mo at (0.0000, 0.0000, 0.5000).

For the density of states at the Fermi level, the calculation gives 9.167 states/eV per cell. The total magnetic moment comes out at 0.00 Bohr magnetons per cell. The calculation puts the energy of formation at 899 meV/atom. Its raw total energy is -7.499 eV/atom.

***

# 8
LiReMoRh after structural relaxation, computed with GGA-PBE.

The structure belongs to space group F-43m (No. 216); the cell edges are 6.1109, 6.1109 and 6.1109 Å and the angles 90.00°, 90.00° and 90.00°. The inequivalent atoms are Li at (0.0000, 0.0000, 0.0000), Re at (0.0000, 0.0000, 0.5000), Mo at (0.2500, 0.2500, 0.2500) and Rh at (0.2500, 0.2500, 0.7500).

For the density of states at the Fermi level, the calculation gives 13.291 states/eV per cell. The total magnetic moment comes out at 0.00 Bohr magnetons per cell. The calculation puts the energy of formation at 111 meV/atom. Its raw total energy is -8.026 eV/atom.